## CsCdTc2O8 (GGA-PBE)

Data for a relaxed structure of CsCdTc2O8.

a = 10.601 Å, b = 6.108 Å, c = 7.914 Å
α = 90.00°, β = 115.39°, γ = 90.00°
Space group C2/m (No. 12)
Asymmetric unit:
Cs  0.000  0.000  0.000 [2 per cell]
Cd  0.000  0.500  0.500 [2 per cell]
Tc  0.215  0.000  0.651 [4 per cell]
O  0.102  0.500  0.278 [4 per cell]
O  0.138  0.000  0.408 [4 per cell]
O  0.157  0.240  0.721 [8 per cell]

Calculated values
Density = 4.1 g cm⁻³
Formation energy from raw total energies = -17.24 eV/f.u.